## Ti4PdS (GGA-PBE)

Data for a relaxed structure of Ti4PdS.

Cell: 5.825 6.032 5.998 Å, 90.00 94.63 90.00°
Fractional positions:
Ti1 0.129 0.160 0.175
Ti2 0.129 0.340 0.675
Ti3 0.351 0.643 0.121
Ti4 0.351 0.857 0.621
Ti5 0.649 0.143 0.379
Ti6 0.649 0.357 0.879
Ti7 0.871 0.660 0.325
Ti8 0.871 0.840 0.825
Pd1 0.500 0.000 0.000
Pd2 0.500 0.500 0.500
S1 0.000 0.000 0.500
S2 0.000 0.500 0.000

The calculation puts the formation energy from raw total energies at -0.372 eV/atom. Its symmetry is P2_1/c, No. 14. Its density of states at the Fermi level is 1.30 states/eV per atom.